DFT (PBE) results for Sc2Ni after structural relaxation.

Calculated values
Calculated formation energy: -21 kJ per mole of atoms

```
data_Sc2Ni
_cell_length_a 3.1288
_cell_length_b 3.1288
_cell_length_c 24.4293
_cell_angle_alpha 90.00
_cell_angle_beta 90.00
_cell_angle_gamma 90.00
_space_group_name_H-M_alt 'I 41/a m d'
_space_group_IT_number 141
loop_
_space_group_symop_operation_xyz
'x,y,z'
'-x,-y,-z'
'-y+1/4,x+3/4,z+1/4'
'y+1/4,-x+3/4,-z+1/4'
'-x+1/2,-y,z+1/2'
'x+1/2,y,-z+1/2'
'y+1/4,-x+1/4,z+3/4'
'-y+1/4,x+1/4,-z+3/4'
'x,-y,-z'
'-x,y,z'
'-y+1/4,-x+1/4,-z+3/4'
'y+1/4,x+1/4,z+3/4'
'-x+1/2,y,-z+1/2'
'x+1/2,-y,z+1/2'
'y+1/4,x+3/4,-z+1/4'
'-y+1/4,-x+3/4,z+1/4'
'x+1/2,y+1/2,z+1/2'
'-x+1/2,-y+1/2,-z+1/2'
'-y+3/4,x+1/4,z+3/4'
'y+3/4,-x+1/4,-z+3/4'
'-x,-y+1/2,z'
'x,y+1/2,-z'
'y+3/4,-x+3/4,z+1/4'
'-y+3/4,x+3/4,-z+1/4'
'x+1/2,-y+1/2,-z+1/2'
'-x+1/2,y+1/2,z+1/2'
'-y+3/4,-x+3/4,-z+1/4'
'y+3/4,x+3/4,z+1/4'
'-x,y+1/2,-z'
'x,-y+1/2,z'
'y+3/4,x+1/4,-z+3/4'
'-y+3/4,-x+1/4,z+3/4'
loop_
_atom_site_label
_atom_site_fract_x
_atom_site_fract_y
_atom_site_fract_z
Sc1 0.0000 0.2500 0.3114
Ni1 0.0000 0.2500 0.8750
```


DFT (PBE) results for La2ScP after structural relaxation.

Calculated values
Calculated formation energy: -54 kJ per mole of atoms

```
data_La2ScP
_cell_length_a 4.0134
_cell_length_b 4.0134
_cell_length_c 26.1193
_cell_angle_alpha 90.00
_cell_angle_beta 90.00
_cell_angle_gamma 120.00
_space_group_name_H-M_alt 'R -3 m'
_space_group_IT_number 166
_space_group_name_Hall '-R 3 2"'
loop_
_atom_site_label
_atom_site_fract_x
_atom_site_fract_y
_atom_site_fract_z
La1 0.0000 0.0000 0.2345
Sc1 0.0000 0.0000 0.0000
P1 0.0000 0.0000 0.5000
```


DFT (PBE) results for Ti3InFe after structural relaxation.

Calculated values
Relative energy among the computed polymorphs: 0.0 meV per atom
Calculated formation energy: 12 kJ per mole of atoms

```
data_Ti3InFe
_cell_length_a 4.5232
_cell_length_b 4.5232
_cell_length_c 4.5232
_cell_angle_alpha 90.00
_cell_angle_beta 90.00
_cell_angle_gamma 90.00
_space_group_name_H-M_alt 'P m -3 m'
_space_group_IT_number 221
_space_group_name_Hall '-P 4 2 3'
loop_
_atom_site_label
_atom_site_fract_x
_atom_site_fract_y
_atom_site_fract_z
Ti1 0.0000 0.0000 0.5000
In1 0.5000 0.5000 0.5000
Fe1 0.0000 0.0000 0.0000
```


Respective N(E_F) values: 2.8; 2.8; 8.9 states/eV/f.u..